1.
The following is a DFT calculation (GGA-PBE) of crystalline TcGeCl2 at its relaxed geometry.

The space group is Fm-3m (No. 225) and the conventional cell measures 6.6833, 6.6833 and 6.6833 Å, with angles of 90.00, 90.00 and 90.00 degrees. The asymmetric unit holds Tc at (0.0000, 0.0000, 0.0000), Ge at (0.0000, 0.0000, 0.5000) and Cl at (0.2500, 0.2500, 0.2500).

Its calculated volume is 299 Å³ per cell. The relative energy among the computed polymorphs is 1.50 eV per formula unit. The value obtained for the density of states at the Fermi level is 4.82 states/eV per cell. For the formation energy from raw total energies, the calculation gives 557 meV/atom. As for the energy: -4.11 eV per atom.

***

2.
The following is a DFT calculation (GGA-PBE) of crystalline TcGe3Cl at its relaxed geometry.

The space group is Pm-3m (No. 221) and the conventional cell measures 4.8410, 4.8410 and 4.8410 Å, with angles of 90.00, 90.00 and 90.00 degrees. The asymmetric unit holds Tc at (0.0000, 0.0000, 0.0000), Ge at (0.0000, 0.5000, 0.5000) and Cl at (0.5000, 0.5000, 0.5000).

Its calculated volume is 113 Å³ per cell. The relative energy among the computed polymorphs is 7.09 eV per formula unit. The value obtained for the density of states at the Fermi level is 4.95 states/eV per cell. For the formation energy from raw total energies, the calculation gives 1257 meV/atom. As for the energy: -3.96 eV per atom.

***

3.
The following is a DFT calculation (GGA-PBE) of crystalline Tc2GeCl at its relaxed geometry.

The space group is I-42d (No. 122) and the conventional cell measures 5.6413, 5.6413 and 9.8783 Å, with angles of 90.00, 90.00 and 90.00 degrees. The asymmetric unit holds Tc at (0.2240, 0.2500, 0.1250), Ge at (0.0000, 0.0000, 0.5000) and Cl at (0.0000, 0.0000, 0.0000).

Its calculated volume is 314 Å³ per cell. The relative energy among the computed polymorphs is 1.13 eV per formula unit. The value obtained for the density of states at the Fermi level is 16.59 states/eV per cell. For the formation energy from raw total energies, the calculation gives 829 meV/atom. As for the energy: -5.97 eV per atom.

***

4.
The following is a DFT calculation (GGA-PBE) of crystalline TcGeCl3 at its relaxed geometry.

The space group is Pm-3m (No. 221) and the conventional cell measures 4.8705, 4.8705 and 4.8705 Å, with angles of 90.00, 90.00 and 90.00 degrees. The asymmetric unit holds Tc at (0.0000, 0.0000, 0.0000), Ge at (0.5000, 0.5000, 0.5000) and Cl at (0.0000, 0.0000, 0.5000).

Its calculated volume is 116 Å³ per cell. The relative energy among the computed polymorphs is 0.00 eV per formula unit. The value obtained for the density of states at the Fermi level is 6.55 states/eV per cell. For the formation energy from raw total energies, the calculation gives 199 meV/atom. As for the energy: -3.91 eV per atom.

***

5.
The following is a DFT calculation (GGA-PBE) of crystalline TcGeTe2Cl at its relaxed geometry.

The space group is P4/mmm (No. 123) and the conventional cell measures 5.4635, 5.4635 and 4.8149 Å, with angles of 90.00, 90.00 and 90.00 degrees. The asymmetric unit holds Tc at (0.0000, 0.0000, 0.0000), Ge at (0.5000, 0.5000, 0.5000), Te at (0.0000, 0.5000, 0.5000) and Cl at (0.5000, 0.5000, 0.0000).

Its calculated volume is 144 Å³ per cell. The value obtained for the density of states at the Fermi level is 2.03 states/eV per cell. For the formation energy from raw total energies, the calculation gives 748 meV/atom. As for the energy: -3.88 eV per atom.

***

6.
The following is a DFT calculation (GGA-PBE) of crystalline VTc2GeCl at its relaxed geometry.

The space group is P4/mmm (No. 123) and the conventional cell measures 4.7107, 4.7107 and 4.8611 Å, with angles of 90.00, 90.00 and 90.00 degrees. The asymmetric unit holds V at (0.0000, 0.0000, 0.0000), Tc at (0.0000, 0.5000, 0.5000), Ge at (0.0000, 0.0000, 0.5000) and Cl at (0.5000, 0.5000, 0.0000).

Its calculated volume is 108 Å³ per cell. The value obtained for the density of states at the Fermi level is 6.01 states/eV per cell. For the formation energy from raw total energies, the calculation gives 1355 meV/atom. As for the energy: -5.91 eV per atom.

***

7.
The following is a DFT calculation (GGA-PBE) of crystalline YTc2GeCl at its relaxed geometry.

The space group is P4/mmm (No. 123) and the conventional cell measures 4.6608, 4.6608 and 5.6058 Å, with angles of 90.00, 90.00 and 90.00 degrees. The asymmetric unit holds Y at (0.0000, 0.0000, 0.0000), Tc at (0.0000, 0.5000, 0.5000), Ge at (0.0000, 0.0000, 0.5000) and Cl at (0.5000, 0.5000, 0.0000).

Its calculated volume is 122 Å³ per cell. The value obtained for the density of states at the Fermi level is 6.05 states/eV per cell. For the formation energy from raw total energies, the calculation gives 725 meV/atom. As for the energy: -6.01 eV per atom.

***

8.
The following is a DFT calculation (GGA-PBE) of crystalline ZrTc2GeCl at its relaxed geometry.

The space group is P4/mmm (No. 123) and the conventional cell measures 4.9921, 4.9921 and 4.8344 Å, with angles of 90.00, 90.00 and 90.00 degrees. The asymmetric unit holds Zr at (0.0000, 0.0000, 0.0000), Tc at (0.0000, 0.5000, 0.0000), Ge at (0.5000, 0.5000, 0.5000) and Cl at (0.0000, 0.0000, 0.5000).

Its calculated volume is 120 Å³ per cell. The value obtained for the density of states at the Fermi level is 3.89 states/eV per cell. For the formation energy from raw total energies, the calculation gives 1273 meV/atom. As for the energy: -5.88 eV per atom.

***

9.
The following is a DFT calculation (GGA-PBE) of crystalline Ge4Te5Cl2 at its relaxed geometry.

The space group is C2/m (No. 12) and the conventional cell measures 13.5252, 7.7962 and 8.2678 Å, with angles of 90.00, 124.71 and 90.00 degrees. The asymmetric unit holds Ge at (0.1084, 0.0000, 0.2595), Ge at (0.2109, 0.0000, 0.0447), Te at (0.0000, 0.5000, 0.5000), Te at (0.0491, 0.2674, 0.8369) and Cl at (0.2282, 0.0000, 0.5890).

Its calculated volume is 717 Å³ per cell. The value obtained for the density of states at the Fermi level is 4.22 states/eV per cell. For the formation energy from raw total energies, the calculation gives -99 meV/atom. As for the energy: -3.54 eV per atom.

***

10.
The following is a DFT calculation (GGA-PBE) of crystalline GeTe3Cl at its relaxed geometry.

The space group is Pm-3m (No. 221) and the conventional cell measures 5.3866, 5.3866 and 5.3866 Å, with angles of 90.00, 90.00 and 90.00 degrees. The asymmetric unit holds Ge at (0.0000, 0.0000, 0.0000), Te at (0.0000, 0.5000, 0.5000) and Cl at (0.5000, 0.5000, 0.5000).

Its calculated volume is 156 Å³ per cell. The relative energy among the computed polymorphs is 3.94 eV per formula unit. The value obtained for the density of states at the Fermi level is 3.17 states/eV per cell. For the formation energy from raw total energies, the calculation gives 762 meV/atom. As for the energy: -2.42 eV per atom.

***

11.
The following is a DFT calculation (GGA-PBE) of crystalline Ge3TeCl at its relaxed geometry.

The space group is Pm-3m (No. 221) and the conventional cell measures 5.5776, 5.5776 and 5.5776 Å, with angles of 90.00, 90.00 and 90.00 degrees. The asymmetric unit holds Ge at (0.0000, 0.0000, 0.5000), Te at (0.0000, 0.0000, 0.0000) and Cl at (0.5000, 0.5000, 0.5000).

Its calculated volume is 174 Å³ per cell. The relative energy among the computed polymorphs is 0.52 eV per formula unit. The value obtained for the density of states at the Fermi level is 7.75 states/eV per cell. For the formation energy from raw total energies, the calculation gives 808 meV/atom. As for the energy: -2.96 eV per atom.

***

12.
The following is a DFT calculation (GGA-PBE) of crystalline GeTe3Cl at its relaxed geometry.

The space group is P1 (No. 1) and the conventional cell measures 6.6348, 7.0272 and 7.8630 Å, with angles of 90.06, 90.09 and 109.87 degrees. The asymmetric unit holds Ge at (0.0000, 0.0000, 0.0000), Ge at (0.0006, 0.0016, 0.4829), Te at (0.0212, 0.7061, 0.2415), Te at (0.2054, 0.3051, 0.2417), Te at (0.4366, 0.2082, 0.7420), Te at (0.6765, 0.8477, 0.2411), Te at (0.6903, 0.6305, 0.7412), Te at (0.8840, 0.3224, 0.7412), Cl at (0.3355, 0.7759, 0.7420) and Cl at (0.5399, 0.2345, 0.2425).

Its calculated volume is 345 Å³ per cell. The relative energy among the computed polymorphs is 0.00 eV per formula unit. The value obtained for the density of states at the Fermi level is 0.31 states/eV per cell. For the formation energy from raw total energies, the calculation gives -26 meV/atom. As for the energy: -3.20 eV per atom.

***

13.
The following is a DFT calculation (GGA-PBE) of crystalline Ge3TeCl at its relaxed geometry.

The space group is Pm-3m (No. 221) and the conventional cell measures 5.0813, 5.0813 and 5.0813 Å, with angles of 90.00, 90.00 and 90.00 degrees. The asymmetric unit holds Ge at (0.0000, 0.0000, 0.5000), Te at (0.5000, 0.5000, 0.5000) and Cl at (0.0000, 0.0000, 0.0000).

Its calculated volume is 131 Å³ per cell. The relative energy among the computed polymorphs is 0.00 eV per formula unit. The value obtained for the density of states at the Fermi level is 6.64 states/eV per cell. For the formation energy from raw total energies, the calculation gives 704 meV/atom. As for the energy: -3.06 eV per atom.

***

14.
The following is a DFT calculation (GGA-PBE) of crystalline GeTeCl2 at its relaxed geometry.

The space group is Fm-3m (No. 225) and the conventional cell measures 7.2338, 7.2338 and 7.2338 Å, with angles of 90.00, 90.00 and 90.00 degrees. The asymmetric unit holds Ge at (0.0000, 0.0000, 0.0000), Te at (0.0000, 0.0000, 0.5000) and Cl at (0.2500, 0.2500, 0.2500).

Its calculated volume is 379 Å³ per cell. The relative energy among the computed polymorphs is 3.33 eV per formula unit. The value obtained for the density of states at the Fermi level is 25.24 states/eV per cell. For the formation energy from raw total energies, the calculation gives 247 meV/atom. As for the energy: -2.62 eV per atom.

***

15.
The following is a DFT calculation (GGA-PBE) of crystalline GeTeCl at its relaxed geometry.

The space group is C2/m (No. 12) and the conventional cell measures 13.4812, 5.0717 and 6.4787 Å, with angles of 90.00, 105.37 and 90.00 degrees. The asymmetric unit holds Ge at (0.1679, 0.0000, 0.0156), Te at (0.1259, 0.5000, 0.8316) and Cl at (0.1012, 0.0000, 0.2976).

Its calculated volume is 427 Å³ per cell. The relative energy among the computed polymorphs is 0.04 eV per formula unit. The value obtained for the density of states at the Fermi level is 5.85 states/eV per cell. For the formation energy from raw total energies, the calculation gives -367 meV/atom. As for the energy: -3.57 eV per atom.

***

16.
The following is a DFT calculation (GGA-PBE) of crystalline GeTeCl2 at its relaxed geometry.

The space group is R-3m (No. 166, hexagonal axes) and the conventional cell measures 3.3512, 3.3512 and 29.6077 Å, with angles of 90.00, 90.00 and 120.00 degrees. The asymmetric unit holds Ge at (0.0000, 0.0000, 0.0000), Te at (0.0000, 0.0000, 0.5000) and Cl at (0.0000, 0.0000, 0.0834).

Its calculated volume is 288 Å³ per cell. The relative energy among the computed polymorphs is 2.45 eV per formula unit. The value obtained for the density of states at the Fermi level is 8.03 states/eV per cell. For the formation energy from raw total energies, the calculation gives 27 meV/atom. As for the energy: -2.84 eV per atom.

***

17.
The following is a DFT calculation (GGA-PBE) of crystalline GeTeCl2 at its relaxed geometry.

The space group is P2_1/c (No. 14) and the conventional cell measures 6.6561, 6.0685 and 17.9565 Å, with angles of 90.00, 111.68 and 90.00 degrees. The asymmetric unit holds Ge at (0.0763, 0.0003, 0.3261), Te at (0.2528, 0.2494, 0.7497), Cl at (0.0463, 0.6894, 0.0969) and Cl at (0.3532, 0.6884, 0.9027).

Its calculated volume is 674 Å³ per cell. The relative energy among the computed polymorphs is 0.00 eV per formula unit. The value obtained for the density of states at the Fermi level is 0.00 states/eV per cell. For the formation energy from raw total energies, the calculation gives -584 meV/atom. As for the energy: -3.45 eV per atom.

***

18.
The following is a DFT calculation (GGA-PBE) of crystalline GeTe3Cl at its relaxed geometry.

The space group is Pm-3m (No. 221) and the conventional cell measures 5.4161, 5.4161 and 5.4161 Å, with angles of 90.00, 90.00 and 90.00 degrees. The asymmetric unit holds Ge at (0.0000, 0.0000, 0.0000), Te at (0.0000, 0.0000, 0.5000) and Cl at (0.5000, 0.5000, 0.5000).

Its calculated volume is 159 Å³ per cell. The relative energy among the computed polymorphs is 2.42 eV per formula unit. The value obtained for the density of states at the Fermi level is 7.75 states/eV per cell. For the formation energy from raw total energies, the calculation gives 459 meV/atom. As for the energy: -2.72 eV per atom.

***

19.
The following is a DFT calculation (GGA-PBE) of crystalline GeTeCl2 at its relaxed geometry.

The space group is R-3m (No. 166, hexagonal axes) and the conventional cell measures 3.5739, 3.5739 and 37.4407 Å, with angles of 90.00, 90.00 and 120.00 degrees. The asymmetric unit holds Ge at (0.0000, 0.0000, 0.0000), Te at (0.0000, 0.0000, 0.5000) and Cl at (0.0000, 0.0000, 0.3778).

Its calculated volume is 414 Å³ per cell. The relative energy among the computed polymorphs is 1.17 eV per formula unit. The value obtained for the density of states at the Fermi level is 3.76 states/eV per cell. For the formation energy from raw total energies, the calculation gives -293 meV/atom. As for the energy: -3.16 eV per atom.

***

20.
The following is a DFT calculation (GGA-PBE) of crystalline Ge4Te2Cl5 at its relaxed geometry.

The space group is C2/m (No. 12) and the conventional cell measures 16.3432, 6.1642 and 8.8053 Å, with angles of 90.00, 111.03 and 90.00 degrees. The asymmetric unit holds Ge at (0.1359, 0.0000, 0.2355), Ge at (0.2270, 0.5000, 0.8611), Te at (0.1975, 0.0000, 0.8215), Cl at (0.0000, 0.0000, 0.0000) and Cl at (0.1114, 0.2607, 0.3791).

Its calculated volume is 828 Å³ per cell. The value obtained for the density of states at the Fermi level is 11.84 states/eV per cell. For the formation energy from raw total energies, the calculation gives -376 meV/atom. As for the energy: -3.47 eV per atom.